[1]
# KCuRe2 (GGA-PBE, optimized geometry)
data_KCuRe2
_symmetry_space_group_name_H-M 'P m m m'
_symmetry_Int_Tables_number 47
_cell_length_a 2.5709
_cell_length_b 4.2966
_cell_length_c 7.6658
_cell_angle_alpha 90.00
_cell_angle_beta 90.00
_cell_angle_gamma 90.00
loop_
_symmetry_equiv_pos_as_xyz
'x,y,z'
'-x,-y,-z'
'-x,-y,z'
'x,y,-z'
'x,-y,-z'
'-x,y,z'
'-x,y,-z'
'x,-y,z'
loop_
_atom_site_label
_atom_site_type_symbol
_atom_site_fract_x
_atom_site_fract_y
_atom_site_fract_z
K1 K 0.0000 0.0000 0.0000
Cu1 Cu 0.0000 0.0000 0.5000
Re1 Re 0.5000 0.5000 0.3479
# - Formation energy: 1061 meV/atom
# - Distance to the lowest polymorph of the same formula: 1.49 eV per formula unit
# - Fermi-level density of states: 2.6 states/eV per cell
# - Spin magnetization: 0.000 μB/atom


[2]
# KCuRe2 (GGA-PBE, optimized geometry)
data_KCuRe2
_symmetry_space_group_name_H-M 'C 1 m 1'
_symmetry_Int_Tables_number 8
_cell_length_a 8.7404
_cell_length_b 2.6128
_cell_length_c 7.3076
_cell_angle_alpha 90.00
_cell_angle_beta 92.49
_cell_angle_gamma 90.00
loop_
_symmetry_equiv_pos_as_xyz
'x,y,z'
'x,-y,z'
'x+1/2,y+1/2,z'
'x+1/2,-y+1/2,z'
loop_
_atom_site_label
_atom_site_type_symbol
_atom_site_fract_x
_atom_site_fract_y
_atom_site_fract_z
K1 K 0.0000 0.0000 0.0000
Cu1 Cu 0.2431 0.0000 0.6687
Re1 Re 0.0161 0.5000 0.4980
Re2 Re 0.2639 0.5000 0.3504
# - Formation energy: 815 meV/atom
# - Distance to the lowest polymorph of the same formula: 0.51 eV per formula unit
# - Fermi-level density of states: 5.5 states/eV per cell
# - Spin magnetization: 0.000 μB/atom


[3]
# KCuRe2 (GGA-PBE, optimized geometry)
data_KCuRe2
_symmetry_space_group_name_H-M 'P 4/m m m'
_symmetry_Int_Tables_number 123
_symmetry_space_group_name_Hall '-P 4 2'
_cell_length_a 2.6136
_cell_length_b 2.6136
_cell_length_c 10.0497
_cell_angle_alpha 90.00
_cell_angle_beta 90.00
_cell_angle_gamma 90.00
loop_
_atom_site_label
_atom_site_type_symbol
_atom_site_fract_x
_atom_site_fract_y
_atom_site_fract_z
K1 K 0.0000 0.0000 0.0000
Cu1 Cu 0.0000 0.0000 0.5000
Re1 Re 0.5000 0.5000 0.2981
# - Formation energy: 964 meV/atom
# - Distance to the lowest polymorph of the same formula: 1.10 eV per formula unit
# - Fermi-level density of states: 2.0 states/eV per cell
# - Spin magnetization: 0.000 μB/atom


[4]
# KCuRe2 (GGA-PBE, optimized geometry)
data_KCuRe2
_symmetry_space_group_name_H-M 'P m m m'
_symmetry_Int_Tables_number 47
_cell_length_a 2.7052
_cell_length_b 4.7586
_cell_length_c 5.4733
_cell_angle_alpha 90.00
_cell_angle_beta 90.00
_cell_angle_gamma 90.00
loop_
_symmetry_equiv_pos_as_xyz
'x,y,z'
'-x,-y,-z'
'-x,-y,z'
'x,y,-z'
'x,-y,-z'
'-x,y,z'
'-x,y,-z'
'x,-y,z'
loop_
_atom_site_label
_atom_site_type_symbol
_atom_site_fract_x
_atom_site_fract_y
_atom_site_fract_z
K1 K 0.0000 0.0000 0.0000
Cu1 Cu 0.5000 0.5000 0.0000
Re1 Re 0.0000 0.5000 0.5000
Re2 Re 0.5000 0.0000 0.5000
# - Formation energy: 1240 meV/atom
# - Distance to the lowest polymorph of the same formula: 2.21 eV per formula unit
# - Fermi-level density of states: 3.8 states/eV per cell
# - Spin magnetization: 0.000 μB/atom


[5]
# KCuRe2 (GGA-PBE, optimized geometry)
data_KCuRe2
_symmetry_space_group_name_H-M 'F m -3 m'
_symmetry_Int_Tables_number 225
_symmetry_space_group_name_Hall '-F 4 2 3'
_cell_length_a 6.3670
_cell_length_b 6.3670
_cell_length_c 6.3670
_cell_angle_alpha 90.00
_cell_angle_beta 90.00
_cell_angle_gamma 90.00
loop_
_atom_site_label
_atom_site_type_symbol
_atom_site_fract_x
_atom_site_fract_y
_atom_site_fract_z
K1 K 0.0000 0.0000 0.0000
Cu1 Cu 0.0000 0.0000 0.5000
Re1 Re 0.2500 0.2500 0.2500
# - Formation energy: 2228 meV/atom
# - Distance to the lowest polymorph of the same formula: 6.16 eV per formula unit
# - Fermi-level density of states: 23.7 states/eV per cell
# - Spin magnetization: 0.000 μB/atom


[6]
# KCuRe (GGA-PBE, optimized geometry)
data_KCuRe
_symmetry_space_group_name_H-M 'P 3 m 1'
_symmetry_Int_Tables_number 156
_cell_length_a 2.7857
_cell_length_b 2.7857
_cell_length_c 8.0876
_cell_angle_alpha 90.00
_cell_angle_beta 90.00
_cell_angle_gamma 120.00
loop_
_symmetry_equiv_pos_as_xyz
'x,y,z'
'-y,x-y,z'
'-x+y,-x,z'
'-y,-x,z'
'-x+y,y,z'
'x,x-y,z'
loop_
_atom_site_label
_atom_site_type_symbol
_atom_site_fract_x
_atom_site_fract_y
_atom_site_fract_z
K1 K 0.0000 0.0000 0.0000
Cu1 Cu 0.3333 0.6667 0.6352
Re1 Re 0.6667 0.3333 0.3707
# - Formation energy: 1007 meV/atom
# - Distance to the lowest polymorph of the same formula: 0.19 eV per formula unit
# - Fermi-level density of states: 2.4 states/eV per cell
# - Spin magnetization: 0.000 μB/atom


[7]
# KCuRe2 (GGA-PBE, optimized geometry)
data_KCuRe2
_symmetry_space_group_name_H-M 'P 4/m m m'
_symmetry_Int_Tables_number 123
_symmetry_space_group_name_Hall '-P 4 2'
_cell_length_a 3.7143
_cell_length_b 3.7143
_cell_length_c 5.2226
_cell_angle_alpha 90.00
_cell_angle_beta 90.00
_cell_angle_gamma 90.00
loop_
_atom_site_label
_atom_site_type_symbol
_atom_site_fract_x
_atom_site_fract_y
_atom_site_fract_z
K1 K 0.0000 0.0000 0.0000
Cu1 Cu 0.5000 0.5000 0.0000
Re1 Re 0.0000 0.5000 0.5000
# - Formation energy: 1514 meV/atom
# - Distance to the lowest polymorph of the same formula: 3.30 eV per formula unit
# - Fermi-level density of states: 3.3 states/eV per cell
# - Spin magnetization: 0.000 μB/atom


[8]
# KCuRe4 (GGA-PBE, optimized geometry)
data_KCuRe4
_symmetry_space_group_name_H-M 'F -4 3 m'
_symmetry_Int_Tables_number 216
_symmetry_space_group_name_Hall 'F -4 2 3'
_cell_length_a 7.5340
_cell_length_b 7.5340
_cell_length_c 7.5340
_cell_angle_alpha 90.00
_cell_angle_beta 90.00
_cell_angle_gamma 90.00
loop_
_atom_site_label
_atom_site_type_symbol
_atom_site_fract_x
_atom_site_fract_y
_atom_site_fract_z
K1 K 0.0000 0.0000 0.0000
Cu1 Cu 0.2500 0.2500 0.2500
Re1 Re 0.1247 0.1247 0.6247
# - Formation energy: 1164 meV/atom
# - Fermi-level density of states: 25.2 states/eV per cell
# - Spin magnetization: 0.000 μB/atom


Q: Among the records above, which one has the highest formation energy?
A: number 5


Copy entry 7 word for word.
# KCuRe2 (GGA-PBE, optimized geometry)
data_KCuRe2
_symmetry_space_group_name_H-M 'P 4/m m m'
_symmetry_Int_Tables_number 123
_symmetry_space_group_name_Hall '-P 4 2'
_cell_length_a 3.7143
_cell_length_b 3.7143
_cell_length_c 5.2226
_cell_angle_alpha 90.00
_cell_angle_beta 90.00
_cell_angle_gamma 90.00
loop_
_atom_site_label
_atom_site_type_symbol
_atom_site_fract_x
_atom_site_fract_y
_atom_site_fract_z
K1 K 0.0000 0.0000 0.0000
Cu1 Cu 0.5000 0.5000 0.0000
Re1 Re 0.0000 0.5000 0.5000
# - Formation energy: 1514 meV/atom
# - Distance to the lowest polymorph of the same formula: 3.30 eV per formula unit
# - Fermi-level density of states: 3.3 states/eV per cell
# - Spin magnetization: 0.000 μB/atom


Q: Among the records above, which one has the highest Fermi-level density of states?
A: KCuRe4


Q: What is the spin magnetization in the second record?
A: 0.000 μB/atom